# 1
# PBEsol Ti2MoP2, relaxed
# E_tot = -9.027 eV per atom
# Formation energy = -1.028 eV per atom
# Density of states at the Fermi level = 5.7 states/eV per cell
data_Ti2MoP2
_chemical_formula_sum 'Ti4 Mo2 P4'
_symmetry_space_group_name_H-M 'P 1'
_symmetry_Int_Tables_number 1
_symmetry_space_group_name_Hall 'P 1'
_cell_length_a 3.417
_cell_length_b 6.343
_cell_length_c 6.343
_cell_angle_alpha 90.00
_cell_angle_beta 90.00
_cell_angle_gamma 90.00
loop_
_atom_site_label
_atom_site_type_symbol
_atom_site_fract_x
_atom_site_fract_y
_atom_site_fract_z
P1 P 0.000 0.138 0.362
Mo1 Mo 0.000 0.000 0.000
Ti1 Ti 0.500 0.661 0.839
P2 P 0.000 0.638 0.138
Mo2 Mo 0.000 0.500 0.500
Ti2 Ti 0.500 0.339 0.161
P3 P 0.000 0.862 0.638
Ti3 Ti 0.500 0.839 0.339
P4 P 0.000 0.362 0.862
Ti4 Ti 0.500 0.161 0.661

# 2
# PBEsol LiTl4Se, relaxed
# Formation energy (no corrections) = 58 meV per atom
# E_tot = -2.665 eV per atom
# Density of states at the Fermi level = 2.6 states/eV per cell
data_LiTl4Se
_chemical_formula_sum 'Li1 Tl4 Se1'
_symmetry_space_group_name_H-M 'P 1'
_symmetry_Int_Tables_number 1
_symmetry_space_group_name_Hall 'P 1'
_cell_length_a 6.251
_cell_length_b 6.251
_cell_length_c 6.251
_cell_angle_alpha 60.00
_cell_angle_beta 60.00
_cell_angle_gamma 60.00
loop_
_atom_site_label
_atom_site_type_symbol
_atom_site_fract_x
_atom_site_fract_y
_atom_site_fract_z
Se1 Se 0.000 0.000 0.000
Tl1 Tl 0.375 0.375 0.375
Tl2 Tl 0.375 0.375 0.876
Tl3 Tl 0.375 0.876 0.375
Tl4 Tl 0.876 0.375 0.375
Li1 Li 0.750 0.750 0.750

# 3
# PBEsol KErO2, relaxed
# Formation energy (no corrections) = -2848 meV per atom
# E_tot = -6.988 eV per atom
# Density of states at the Fermi level = 0.0 states/eV per cell
data_KErO2
_chemical_formula_sum 'K1 Er1 O2'
_symmetry_space_group_name_H-M 'P 1'
_symmetry_Int_Tables_number 1
_symmetry_space_group_name_Hall 'P 1'
_cell_length_a 3.396
_cell_length_b 3.396
_cell_length_c 6.452
_cell_angle_alpha 74.74
_cell_angle_beta 74.74
_cell_angle_gamma 60.00
loop_
_atom_site_label
_atom_site_type_symbol
_atom_site_fract_x
_atom_site_fract_y
_atom_site_fract_z
O1 O 0.228 0.228 0.315
O2 O 0.772 0.772 0.685
Er1 Er 0.500 0.500 0.500
K1 K 0.000 0.000 0.000

# 4
# PBEsol CoW2, relaxed
# E_tot = -11.798 eV per atom
# Formation energy = -0.014 eV per atom
# Density of states at the Fermi level = 5.3 states/eV per cell
data_CoW2
_chemical_formula_sum 'Co2 W4'
_symmetry_space_group_name_H-M 'P 1'
_symmetry_Int_Tables_number 1
_symmetry_space_group_name_Hall 'P 1'
_cell_length_a 4.714
_cell_length_b 4.805
_cell_length_c 4.805
_cell_angle_alpha 76.08
_cell_angle_beta 60.62
_cell_angle_gamma 60.62
loop_
_atom_site_label
_atom_site_type_symbol
_atom_site_fract_x
_atom_site_fract_y
_atom_site_fract_z
Co1 Co 0.250 0.000 0.000
Co2 Co 0.750 0.000 0.000
W1 W 0.660 0.181 0.500
W2 W 0.340 0.819 0.500
W3 W 0.160 0.500 0.181
W4 W 0.840 0.500 0.819

# 5
# PBEsol Y2TcAg, relaxed
# E_tot = -7.207 eV per atom
# Formation energy = -0.152 eV per atom
# Density of states at the Fermi level = 2.9 states/eV per cell
data_Y2TcAg
_chemical_formula_sum 'Y2 Tc1 Ag1'
_symmetry_space_group_name_H-M 'P 1'
_symmetry_Int_Tables_number 1
_symmetry_space_group_name_Hall 'P 1'
_cell_length_a 3.427
_cell_length_b 3.427
_cell_length_c 7.183
_cell_angle_alpha 90.00
_cell_angle_beta 90.00
_cell_angle_gamma 90.00
loop_
_atom_site_label
_atom_site_type_symbol
_atom_site_fract_x
_atom_site_fract_y
_atom_site_fract_z
Ag1 Ag 0.500 0.500 0.000
Y1 Y 0.000 0.000 0.274
Tc1 Tc 0.500 0.500 0.500
Y2 Y 0.000 0.000 0.726

# 6
# PBEsol Zr4MnAl, relaxed
# E_tot = -7.914 eV per atom
# Formation energy = 0.455 eV per atom
# Density of states at the Fermi level = 7.3 states/eV per cell
data_Zr4MnAl
_chemical_formula_sum 'Zr4 Mn1 Al1'
_symmetry_space_group_name_H-M 'P 1'
_symmetry_Int_Tables_number 1
_symmetry_space_group_name_Hall 'P 1'
_cell_length_a 5.569
_cell_length_b 5.569
_cell_length_c 5.569
_cell_angle_alpha 60.00
_cell_angle_beta 60.00
_cell_angle_gamma 60.00
loop_
_atom_site_label
_atom_site_type_symbol
_atom_site_fract_x
_atom_site_fract_y
_atom_site_fract_z
Zr1 Zr 0.375 0.375 0.876
Al1 Al 0.750 0.750 0.750
Mn1 Mn 0.000 0.000 0.000
Zr2 Zr 0.375 0.876 0.375
Zr3 Zr 0.375 0.375 0.375
Zr4 Zr 0.876 0.375 0.375